(1)
{
  "formula": "CeDyNiGe",
  "functional": "GGA-PBE",
  "state": "relaxed",
  "lattice": [[-1.6236, -4.2481, -2.0344], [0.2789, -4.2588, 2.5701], [-4.1540, -2.1533, 1.7113]],
  "species": ["Ce", "Ni", "Ge", "Dy"],
  "fractional_positions": [[0.0000, 0.0000, 0.0000], [0.7500, 0.7500, 0.7500], [0.2500, 0.2500, 0.2500], [0.5000, 0.5000, 0.5000]],
  "final_energy_ry_per_atom": -0.417,
  "sg": "No. 216",
  "ef_ev_per_fu": -1.8
}

---

(2)
{
  "formula": "PmZr2Ti",
  "functional": "GGA-PBE",
  "state": "relaxed",
  "lattice": [[-2.4985, 0.1628, 1.9460], [-1.3710, -2.6612, 1.0462], [5.5586, -0.9018, 9.7962]],
  "species": ["Ti", "Zr", "Zr", "Pm"],
  "fractional_positions": [[0.5000, 0.5000, 0.5000], [0.0961, 0.0961, 0.7116], [0.9039, 0.9039, 0.2884], [0.0000, 0.0000, 0.0000]],
  "final_energy_ry_per_atom": -0.528,
  "polymorph_energy_mev_per_atom": 107,
  "sg": "No. 166",
  "ef_ev_per_fu": 1.0
}